# 1
The following is a PBE calculation of a relaxed structure of Re2Ir, from Alexandria via LeMat-Bulk.

Calculated values
- Total moment: 0.000 Bohr magnetons per cell
- Crystal system: tetragonal
- E_form: -98 meV/atom
- Energy above the most stable polymorph in this dataset: 0.28 eV/f.u.
- D(E_F): 24.24 states/eV/cell

a b c (Å): 3.9030 3.9030 23.2624
angles (deg): 90.00 90.00 90.00
Closest atoms and distances in Å follow each position.
Space group I4_1/amd (No. 141, origin choice 2)
Inequivalent atoms, fractional coordinates:
Re 0.0000 0.2500 0.1243 [8 per cell]  4 Ir 2.73-2.75, 8 Re 2.74-2.76
Re 0.0000 0.2500 0.2916 [8 per cell]  6 Re 2.74-2.76, 6 Ir 2.76
Ir 0.0000 0.2500 0.7923 [8 per cell]  10 Re 2.73-2.76, 2 Ir 2.77


# 2
The following is a PBE calculation of a relaxed structure of SrZn2ReBr, from Alexandria via LeMat-Bulk.

Calculated values
- Total moment: 4.045 Bohr magnetons per cell
- Crystal system: tetragonal
- D(E_F): 3.97 states/eV/cell
- Final energy: -2.1559 eV/atom

a b c (Å): 6.1855 6.1855 5.8986
angles (deg): 90.00 90.00 90.00
Closest atoms and distances in Å follow each position.
Space group P4/mmm (No. 123)
Inequivalent atoms, fractional coordinates:
Sr 0.0000 0.0000 0.0000 [1 per cell]  2 Re 2.95, 4 Zn 3.09
Zn 0.0000 0.5000 0.0000 [2 per cell]  2 Sr 3.09
Re 0.0000 0.0000 0.5000 [1 per cell]  2 Sr 2.95
Br 0.5000 0.5000 0.5000 [1 per cell]  8 Zn 4.27, 4 Re 4.37


# 3
The following is a PBE calculation of a relaxed structure of Dy3TmBi2C, from Alexandria via LeMat-Bulk.

Calculated values
- Total moment: 0.001 Bohr magnetons per cell
- Crystal system: orthorhombic
- E_form: -651 meV/atom
- D(E_F): 11.23 states/eV/cell

a b c (Å): 4.7883 4.8590 16.0024
angles (deg): 90.00 90.00 90.00
Closest atoms and distances in Å follow each position.
Space group Immm (No. 71)
Inequivalent atoms, fractional coordinates:
Dy 0.0000 0.0000 0.0000 [2 per cell]  2 C 2.43
Dy 0.0000 0.5000 0.1529 [4 per cell]  1 C 2.45
Tm 0.0000 0.0000 0.5000 [2 per cell]  2 C 2.39
Bi 0.0000 0.5000 0.3559 [4 per cell]  7 Dy 3.25-3.41, 2 Tm 3.35
C 0.0000 0.5000 0.0000 [2 per cell]  2 Tm 2.39, 4 Dy 2.43-2.45


# 4
The following is a PBE calculation of a relaxed structure of Cs2LaAuF6, from Alexandria via LeMat-Bulk.

Calculated values
- Total moment: 0.000 Bohr magnetons per cell
- Crystal system: tetragonal
- D(E_F): 0.00 states/eV/cell
- Final energy: -4.9097 eV/atom

a b c (Å): 7.4135 7.4135 8.8953
angles (deg): 90.00 90.00 90.00
Closest atoms and distances in Å follow each position.
Space group I4/mmm (No. 139)
Inequivalent atoms, fractional coordinates:
Cs 0.0000 0.5000 0.2500 [4 per cell]  12 F 3.45-3.71
La 0.0000 0.0000 0.0000 [2 per cell]  6 F 2.28-2.38
Au 0.0000 0.0000 0.5000 [2 per cell]  2 F 2.07
F 0.0000 0.0000 0.2671 [4 per cell]  1 Au 2.07
F 0.2178 0.2178 0.0000 [8 per cell]  1 La 2.28


# 5
The following is a PBE calculation of a relaxed structure of LiAcScPd2, from Alexandria via LeMat-Bulk.

Calculated values
- Total moment: 0.000 Bohr magnetons per cell
- Crystal system: tetragonal
- E_form: -635 meV/atom
- D(E_F): 5.60 states/eV/cell

a b c (Å): 4.2154 4.2154 12.5660
angles (deg): 90.00 90.00 90.00
Closest atoms and distances in Å follow each position.
Space group I-4m2 (No. 119)
Inequivalent atoms, fractional coordinates:
Li 0.0000 0.0000 0.0000 [2 per cell]  4 Pd 2.73, 4 Sc 2.98
Ac 0.0000 0.5000 0.2500 [2 per cell]  8 Pd 3.30
Sc 0.0000 0.0000 0.5000 [2 per cell]  4 Pd 2.73, 4 Li 2.98
Pd 0.0000 0.5000 0.6376 [4 per cell]  2 Li 2.73, 2 Sc 2.73, 1 Pd 2.83


# 6
The following is a PBE calculation of a relaxed structure of LiThCu2S4, from Alexandria via LeMat-Bulk.

Calculated values
- Total moment: 0.000 Bohr magnetons per cell
- Crystal system: orthorhombic
- D(E_F): 5.21 states/eV/cell
- Final energy: -5.2563 eV/atom

a b c (Å): 6.4206 6.4291 7.0949
angles (deg): 90.00 90.00 90.00
Closest atoms and distances in Å follow each position.
Space group I222 (No. 23)
Inequivalent atoms, fractional coordinates:
Li 0.0000 0.0000 0.0000 [2 per cell]  4 S 2.39
Th 0.0000 0.0000 0.5000 [2 per cell]  8 S 2.91-2.94
Cu 0.0000 0.5000 0.2551 [4 per cell]  4 S 2.32-2.33
S 0.2143 0.2143 0.8051 [8 per cell]  2 Cu 2.32-2.33, 1 Li 2.39


# 7
The following is a PBE calculation of a relaxed structure of Ag4SeI3, from Alexandria via LeMat-Bulk.

Calculated values
- Total moment: 0.000 Bohr magnetons per cell
- Crystal system: orthorhombic
- D(E_F): 15.57 states/eV/cell
- Final energy: -2.5144 eV/atom

a b c (Å): 7.4108 9.2369 7.4327
angles (deg): 90.00 90.00 90.00
Closest atoms and distances in Å follow each position.
Space group Imm2 (No. 44)
Inequivalent atoms, fractional coordinates:
Ag 0.0000 0.2353 0.0000 [4 per cell]  1 Se 2.57, 2 I 2.74-2.87
Ag 0.2175 0.0000 0.5474 [4 per cell]  1 Se 2.57, 1 I 2.80
Se 0.0000 0.0000 0.8164 [2 per cell]  4 Ag 2.57
I 0.0000 0.2493 0.3681 [4 per cell]  1 Ag 2.74
I 0.0000 0.5000 0.7977 [2 per cell]  4 Ag 2.80-2.87


# 8
The following is a PBE calculation of a relaxed structure of BaSr6Ca2, from Alexandria via LeMat-Bulk.

Calculated values
- Total moment: 0.000 Bohr magnetons per cell
- Crystal system: triclinic
- E_form: 15 meV/atom
- Energy above the most stable polymorph in this dataset: 0.00 eV/f.u.
- D(E_F): 10.90 states/eV/cell

a b c (Å): 7.2726 7.2927 10.2962
angles (deg): 90.06 90.30 119.85
Closest atoms and distances in Å follow each position.
Space group P-1 (No. 2)
Inequivalent atoms, fractional coordinates:
Ba 0.0000 0.0000 0.0000 [1 per cell]  10 Sr 4.19-4.25, 2 Ca 4.26
Sr 0.0041 0.3358 0.6628 [2 per cell]  4 Ca 4.14-4.27, 7 Sr 4.14-4.27, 1 Ba 4.24
Sr 0.3358 0.0032 0.6626 [2 per cell]  7 Sr 4.14-4.27, 4 Ca 4.14-4.26, 1 Ba 4.25
Sr 0.3357 0.6638 0.0003 [2 per cell]  7 Sr 4.14-4.27, 3 Ba 4.19-4.23, 2 Ca 4.22-4.23
Ca 0.3389 0.3395 0.3381 [2 per cell]  1 Ca 4.07, 10 Sr 4.14-4.27, 1 Ba 4.26


# 9
The following is a PBE calculation of a relaxed structure of HfCoSn3, from Alexandria via LeMat-Bulk.

Calculated values
- Total moment: 2.769 Bohr magnetons per cell
- Crystal system: cubic
- E_form: 1021 meV/atom
- Energy above the most stable polymorph in this dataset: 2.99 eV/f.u.
- D(E_F): 7.83 states/eV/cell

a b c (Å): 5.4831 5.4831 5.4831
angles (deg): 90.00 90.00 90.00
Closest atoms and distances in Å follow each position.
Space group Pm-3m (No. 221)
Inequivalent atoms, fractional coordinates:
Hf 0.0000 0.0000 0.0000 [1 per cell]  6 Sn 2.74
Co 0.5000 0.5000 0.5000 [1 per cell]  12 Sn 3.88
Sn 0.0000 0.0000 0.5000 [3 per cell]  2 Hf 2.74


# 10
The following is a PBE calculation of a relaxed structure of LaBeAs2, from Alexandria via LeMat-Bulk.

Calculated values
- Total moment: 0.000 Bohr magnetons per cell
- Crystal system: tetragonal
- E_form: -238 meV/atom
- D(E_F): 5.70 states/eV/cell

a b c (Å): 4.1528 4.1528 9.7805
angles (deg): 90.00 90.00 90.00
Closest atoms and distances in Å follow each position.
Space group I-4m2 (No. 119)
Inequivalent atoms, fractional coordinates:
La 0.0000 0.0000 0.0000 [2 per cell]  8 As 2.94-3.21, 4 Be 3.21
Be 0.0000 0.5000 0.2500 [2 per cell]  8 As 2.94-3.21, 4 La 3.21
As 0.0000 0.0000 0.5000 [2 per cell]  4 La 2.94, 4 Be 3.21, 4 As 3.21
As 0.0000 0.5000 0.7500 [2 per cell]  4 Be 2.94, 4 La 3.21, 4 As 3.21


# 11
The following is a PBE calculation of a relaxed structure of KBa2CaNb, from Alexandria via LeMat-Bulk.

Calculated values
- Total moment: 0.103 Bohr magnetons per cell
- Crystal system: tetragonal
- E_form: 682 meV/atom
- D(E_F): 5.47 states/eV/cell

a b c (Å): 6.2841 6.2841 6.0715
angles (deg): 90.00 90.00 90.00
Closest atoms and distances in Å follow each position.
Space group P4/mmm (No. 123)
Inequivalent atoms, fractional coordinates:
K 0.0000 0.0000 0.0000 [1 per cell]  8 Ba 4.37, 4 Ca 4.44
Ba 0.0000 0.5000 0.5000 [2 per cell]  2 Nb 3.14
Ca 0.5000 0.5000 0.0000 [1 per cell]  2 Nb 3.04
Nb 0.5000 0.5000 0.5000 [1 per cell]  2 Ca 3.04, 4 Ba 3.14


# 12
The following is a PBE calculation of a relaxed structure of Th3Rh12W, from Alexandria via LeMat-Bulk.

Calculated values
- Total moment: 0.000 Bohr magnetons per cell
- Crystal system: tetragonal
- E_form: -594 meV/atom
- D(E_F): 14.85 states/eV/cell

a b c (Å): 4.0577 4.0577 16.3588
angles (deg): 90.00 90.00 90.00
Closest atoms and distances in Å follow each position.
Space group P4/mmm (No. 123)
Inequivalent atoms, fractional coordinates:
Th 0.0000 0.0000 0.0000 [1 per cell]  12 Rh 2.87-2.93
Th 0.0000 0.0000 0.2554 [2 per cell]  12 Rh 2.87-3.01
Rh 0.0000 0.5000 0.1290 [4 per cell]  8 Rh 2.87-2.96, 4 Th 2.90-2.93
Rh 0.0000 0.5000 0.3912 [4 per cell]  2 W 2.70, 8 Rh 2.70-2.95, 2 Th 3.01
Rh 0.5000 0.5000 0.0000 [1 per cell]  4 Th 2.87, 8 Rh 2.93
Rh 0.5000 0.5000 0.2604 [2 per cell]  4 Th 2.87, 8 Rh 2.95-2.96
Rh 0.5000 0.5000 0.5000 [1 per cell]  8 Rh 2.70, 4 W 2.87
W 0.0000 0.0000 0.5000 [1 per cell]  12 Rh 2.70-2.87